A geometry-optimized LiPCl2 structure. Source: Alexandria via LeMat-Bulk, functional PBE.

Values from the calculation:
Polymorph energy (0 for the lowest one) in meV per atom: 336
ΔE_f (raw) in meV per atom: -323

a b c (Å): 7.8576 7.8576 7.8576
angles (deg): 24.16 24.16 24.16
With the nearest neighbours (Å) after each atom.
Element x y z (fractional)
Li 0.2500 0.2500 0.2500  6 Cl 2.46
Cl 0.9853 0.9853 0.9853  3 Li 2.46
Cl 0.5147 0.5147 0.5147  3 Li 2.46
P 0.7500 0.7500 0.7500  6 Cl 2.94, 6 P 3.29

A geometry-optimized Ba2PmTmO5 structure. Source: Alexandria via LeMat-Bulk, functional PBE.

Values from the calculation:
ΔE_f (raw) in meV per atom: -3031

a b c (Å): 3.7381 7.6061 11.8626
angles (deg): 90.00 90.00 104.22
With the nearest neighbours (Å) after each atom.
Element x y z (fractional)
O 0.6825 0.3651 0.8975  2 Pm 2.39, 1 Tm 2.41
O 0.3175 0.6349 0.3975  2 Pm 2.39, 1 Tm 2.41
O 0.2759 0.5518 0.6464  2 Pm 2.45, 1 Ba 2.63
O 0.6206 0.2412 0.5022  1 Tm 2.24, 1 Pm 2.32
O 0.0577 0.1155 0.0404  2 Tm 2.14
O 0.7241 0.4482 0.1464  2 Pm 2.45, 1 Ba 2.63
O 0.3794 0.7588 0.0022  1 Tm 2.24, 1 Pm 2.32
O 0.9423 0.8845 0.5404  2 Tm 2.14
O 0.4926 0.9853 0.7870  1 Tm 2.12
O 0.5074 0.0147 0.2870  1 Tm 2.12
Ba 0.8586 0.7171 0.7884  5 O 2.72-2.90
Ba 0.8994 0.7988 0.1880  6 O 2.63-2.92
Ba 0.1414 0.2829 0.2884  5 O 2.72-2.90
Ba 0.1006 0.2012 0.6880  6 O 2.63-2.92
Tm 0.5274 0.0548 0.9606  4 O 2.12-2.24
Tm 0.4726 0.9452 0.4606  4 O 2.12-2.24
Pm 0.7779 0.5558 0.5135  6 O 2.32-2.45
Pm 0.2221 0.4442 0.0135  6 O 2.32-2.45

A geometry-optimized Np2Si4Tc3 structure. Source: Alexandria via LeMat-Bulk, functional PBE.

Values from the calculation:
Polymorph energy (0 for the lowest one) in meV per atom: 14
ΔE_f (raw) in meV per atom: -451

a b c (Å): 6.9105 6.7409 6.6767
angles (deg): 90.00 90.00 110.75
With the nearest neighbours (Å) after each atom.
Element x y z (fractional)
Np 0.4550 0.8231 0.6500  7 Si 2.83-2.97, 1 Tc 2.93, 1 Np 3.01
Np 0.9550 0.8231 0.8500  7 Si 2.83-2.97, 1 Tc 2.93, 1 Np 3.01
Np 0.0450 0.1769 0.1500  7 Si 2.83-2.97, 1 Tc 2.93, 1 Np 3.01
Np 0.5450 0.1769 0.3500  7 Si 2.83-2.97, 1 Tc 2.93, 1 Np 3.01
Si 0.8613 0.5051 0.1488  5 Tc 2.54-2.68, 1 Si 2.78, 2 Np 2.83-2.84
Si 0.6387 0.4949 0.6488  5 Tc 2.54-2.68, 1 Si 2.78, 2 Np 2.83-2.84
Si 0.3613 0.5051 0.3512  5 Tc 2.54-2.68, 1 Si 2.78, 2 Np 2.83-2.84
Si 0.8830 0.1057 0.5545  4 Tc 2.49-2.58, 1 Si 2.61
Si 0.6170 0.8943 0.0545  4 Tc 2.49-2.58, 1 Si 2.61
Si 0.1170 0.8943 0.4455  4 Tc 2.49-2.58, 1 Si 2.61
Si 0.3830 0.1057 0.9455  4 Tc 2.49-2.58, 1 Si 2.61
Si 0.1387 0.4949 0.8512  5 Tc 2.54-2.68, 1 Si 2.78, 2 Np 2.83-2.84
Tc 0.7400 0.7551 0.3556  6 Si 2.49-2.58
Tc 0.2400 0.7551 0.1444  6 Si 2.49-2.58
Tc 0.0000 0.5000 0.5000  6 Si 2.52-2.68
Tc 0.2600 0.2449 0.6444  6 Si 2.49-2.58
Tc 0.5000 0.5000 0.0000  6 Si 2.52-2.68
Tc 0.7600 0.2449 0.8556  6 Si 2.49-2.58

A geometry-optimized MgBeCo2 structure. Source: Alexandria via LeMat-Bulk, functional PBE.

Values from the calculation:
Polymorph energy (0 for the lowest one) in meV per atom: 0

a b c (Å): 2.7668 2.7668 5.9504
angles (deg): 90.00 90.00 90.00
With the nearest neighbours (Å) after each atom.
Element x y z (fractional)
Be 0.5000 0.5000 0.7500  8 Co 2.28
Co 0.0000 0.0000 0.5527  4 Be 2.28, 1 Co 2.35
Co 0.0000 0.0000 0.9473  4 Be 2.28, 1 Co 2.35
Mg 0.5000 0.5000 0.2500  8 Co 2.66, 4 Mg 2.77, 2 Be 2.98